# SiAg2BSe4, optimized geometry, DFT PBE
# Symmetry: P1
data_SiAg2BSe4
_chemical_formula_sum 'Si1 Ag2 B1 Se4'
_symmetry_space_group_name_H-M 'P 1'
_symmetry_Int_Tables_number 1
_cell_length_a 5.979
_cell_length_b 5.633
_cell_length_c 6.293
_cell_angle_alpha 113.85
_cell_angle_beta 112.98
_cell_angle_gamma 87.06
loop_
_symmetry_equiv_pos_as_xyz
'x,y,z'
loop_
_atom_site_label
_atom_site_type_symbol
_atom_site_fract_x
_atom_site_fract_y
_atom_site_fract_z
Se1 Se 0.298 0.742 0.185
B1 B 0.954 0.460 0.944
Se2 Se 0.872 0.395 0.210
Ag1 Ag 0.499 0.030 0.038
Si1 Si 0.722 0.770 0.452
Se3 Se 0.672 0.611 0.742
Ag2 Ag 0.296 0.241 0.466
Se4 Se 0.073 0.140 0.737



# SrAg2BSe4, optimized geometry, DFT PBE
# Symmetry: I222
data_SrAg2BSe4
_chemical_formula_sum 'Sr1 Ag2 B1 Se4'
_symmetry_space_group_name_H-M 'P 1'
_symmetry_Int_Tables_number 1
_cell_length_a 6.925
_cell_length_b 6.225
_cell_length_c 6.225
_cell_angle_alpha 77.01
_cell_angle_beta 56.20
_cell_angle_gamma 56.20
loop_
_symmetry_equiv_pos_as_xyz
'x,y,z'
loop_
_atom_site_label
_atom_site_type_symbol
_atom_site_fract_x
_atom_site_fract_y
_atom_site_fract_z
Se1 Se 0.643 0.535 0.827
Se2 Se 0.995 0.827 0.535
Ag1 Ag 0.500 0.709 0.291
Se3 Se 0.005 0.465 0.173
Se4 Se 0.357 0.173 0.465
Sr1 Sr 0.000 0.000 0.000
B1 B 0.000 0.500 0.500
Ag2 Ag 0.500 0.291 0.709



# TlAgBSe3, optimized geometry, DFT PBE
# Symmetry: Cmcm
data_TlAgBSe3
_chemical_formula_sum 'Tl2 Ag2 B2 Se6'
_symmetry_space_group_name_H-M 'P 1'
_symmetry_Int_Tables_number 1
_cell_length_a 6.384
_cell_length_b 6.771
_cell_length_c 7.425
_cell_angle_alpha 117.13
_cell_angle_beta 90.00
_cell_angle_gamma 90.00
loop_
_symmetry_equiv_pos_as_xyz
'x,y,z'
loop_
_atom_site_label
_atom_site_type_symbol
_atom_site_fract_x
_atom_site_fract_y
_atom_site_fract_z
Se1 Se 0.500 0.212 0.000
Ag1 Ag 0.250 0.427 0.854
B1 B 0.250 0.061 0.121
B2 B 0.750 0.939 0.879
Tl1 Tl 0.250 0.763 0.525
Se2 Se 0.000 0.788 0.000
Se3 Se 0.000 0.212 0.000
Se4 Se 0.250 0.213 0.426
Tl2 Tl 0.750 0.237 0.475
Se5 Se 0.500 0.788 0.000
Se6 Se 0.750 0.787 0.574
Ag2 Ag 0.750 0.573 0.146



Number 1: size of the total moment 0.000 μB/atom, D(E_F) 3.13 states/eV/f.u., formation energy from raw total energies -45 meV/atom. Number 2: size of the total moment 0.000 μB/atom, D(E_F) 3.21 states/eV/f.u., formation energy from raw total energies -591 meV/atom. Number 3: size of the total moment 0.000 μB/atom, D(E_F) 2.74 states/eV/f.u., formation energy from raw total energies 103 meV/atom.